This record from Alexandria describes a relaxed BaZr2Mn crystal. The functional is GGA-PBE.

Cell and atoms, written as extended XYZ:
```
4
Lattice="4.117 -0.026 -0.011 2.234 3.458 -0.011 2.168 1.172 7.903" Properties=species:S:1:pos:R:3 pbc="T T T"
Ba 4.337 2.344 3.838
Mn 2.080 1.124 0.102
Zr 6.324 3.418 1.024
Zr 6.387 3.452 6.834
```

Computed properties:
The calculation puts the calculated density at 5.50 g/cm³. The calculation puts the offset from the most stable computed form at 0.1269 eV per atom. The value obtained for the calculated formation energy is 424.1 meV/atom. The total moment comes out at 0.00 μB per formula unit.